[1]
## SiSn2Os2 (PBE-GGA)

Data for a relaxed structure of SiSn2Os2.

theoretical density	11.552	g/cm³
polymorph energy (0 for the lowest one)	0.0	meV per atom
SG	No. 127
formation energy from raw total energies	0.74	eV/atom
M_tot	0.00	μB/f.u.

```
data_SiSn2Os2
_chemical_formula_sum 'Si2 Sn4 Os4'
_cell_length_a 7.871
_cell_length_b 7.871
_cell_length_c 2.998
_cell_angle_alpha 90.00
_cell_angle_beta 90.00
_cell_angle_gamma 90.00
_symmetry_space_group_name_H-M 'P 1'
_symmetry_Int_Tables_number 1
loop_
_symmetry_equiv_pos_as_xyz
'x,y,z'
loop_
_atom_site_label
_atom_site_fract_x
_atom_site_fract_y
_atom_site_fract_z
Si1 0.000 0.000 0.000
Si2 0.500 0.500 0.000
Os1 0.150 0.650 0.500
Os2 0.650 0.850 0.500
Os3 0.850 0.350 0.500
Os4 0.350 0.150 0.500
Sn1 0.353 0.853 0.000
Sn2 0.853 0.647 0.000
Sn3 0.647 0.147 0.000
Sn4 0.147 0.353 0.000
```

[2]
## SiSn3Os (PBE-GGA)

Data for a relaxed structure of SiSn3Os.

theoretical density	7.049	g/cm³
polymorph energy (0 for the lowest one)	0.0	meV per atom
SG	No. 221
formation energy from raw total energies	0.64	eV/atom
M_tot	1.21	μB/f.u.

```
data_SiSn3Os
_chemical_formula_sum 'Si1 Sn3 Os1'
_cell_length_a 5.134
_cell_length_b 5.134
_cell_length_c 5.134
_cell_angle_alpha 90.00
_cell_angle_beta 90.00
_cell_angle_gamma 90.00
_symmetry_space_group_name_H-M 'P 1'
_symmetry_Int_Tables_number 1
loop_
_symmetry_equiv_pos_as_xyz
'x,y,z'
loop_
_atom_site_label
_atom_site_fract_x
_atom_site_fract_y
_atom_site_fract_z
Si1 0.500 0.500 0.500
Os1 0.000 0.000 0.000
Sn1 0.000 0.500 0.000
Sn2 0.000 0.000 0.500
Sn3 0.500 0.000 0.000
```